No. 1
The following is a PBE calculation of a relaxed structure of Nd3Cd, from the Alexandria database.

Its energy above the most stable polymorph in this dataset is 30 meV per atom. Its volume is 246.6 Å³ per cell. As for the calculated total energy: -31.29 eV per cell.

It has space group I4/mmm (No. 139), with a = 4.919 Å, b = 4.919 Å, c = 10.191 Å, α = 90.00°, β = 90.00° and γ = 90.00°. The inequivalent atoms are Nd at (0.000, 0.000, 0.000), Nd at (0.000, 0.500, 0.250) and Cd at (0.000, 0.000, 0.500).

No. 2
The following is a PBE calculation of a relaxed structure of SrPd2S2, from the Alexandria database.

Its volume is 202.6 Å³ per cell. The value obtained for the energy relative to the elements, uncorrected is -3.9 eV/f.u. As for the calculated total energy: -48.42 eV per cell.

It has space group I4/mmm (No. 139), with a = 4.756 Å, b = 4.756 Å, c = 8.957 Å, α = 90.00°, β = 90.00° and γ = 90.00°. The inequivalent atoms are Sr at (0.000, 0.000, 0.000), Pd at (0.000, 0.000, 0.334) and S at (0.000, 0.500, 0.250).

Going through the records in order, we get magnetic moment values of 0.00 0.00 μB per cell.